1.
DFT (PBE) results for Ba2Y3 after structural relaxation.

Values from the calculation:
- Total DFT energy (no corrections): -21.739 eV per formula unit
- E_form: 0.300 eV per atom
- Relative energy among the computed polymorphs: 0.000 eV per atom

Unit cell a=11.1316 b=9.7221 c=7.2948 alpha=80.33 beta=59.43 gamma=40.24
With the nearest neighbours (Å) after each atom.
Fractional coordinates of all 10 atoms:
Ba 0.2127 0.8835 0.3579  9 Y 3.70-4.14, 2 Ba 3.97
Ba 0.5459 0.3579 0.8835  9 Y 3.70-4.14, 2 Ba 3.97
Ba 0.3665 0.0373 0.7041  9 Y 3.70-4.14, 2 Ba 3.97
Ba 0.8921 0.7041 0.0373  9 Y 3.70-4.14, 2 Ba 3.97
Y 0.7398 0.4543 0.3499  4 Y 3.60-3.79, 5 Ba 3.74-3.80
Y 0.4560 0.3499 0.4543  4 Y 3.60-3.79, 5 Ba 3.74-3.80
Y 0.7957 0.5102 0.7940  4 Y 3.60-3.79, 5 Ba 3.74-3.80
Y 0.9001 0.7940 0.5102  4 Y 3.60-3.79, 5 Ba 3.74-3.80
Y 0.0456 0.9544 0.9544  2 Y 3.60, 6 Ba 3.70-3.94
Y 0.2956 0.2044 0.2044  2 Y 3.60, 6 Ba 3.70-3.94

=====

2.
DFT (PBE) results for SrPrZn10 after structural relaxation.

Values from the calculation:
- Total DFT energy (no corrections): -22.193 eV per formula unit
- E_form: -0.249 eV per atom

Unit cell a=4.2788 b=5.4685 c=9.4831 alpha=90.00 beta=90.00 gamma=90.00
With the nearest neighbours (Å) after each atom.
Fractional coordinates of all 12 atoms:
Sr 0.0000 0.5000 0.5000  10 Zn 3.16-3.47
Pr 0.0000 0.0000 0.0000  18 Zn 3.15-3.47
Zn 0.0000 0.0000 0.3324  6 Zn 2.67
Zn 0.0000 0.5000 0.8329  6 Zn 2.65-2.66
Zn 0.0000 0.5000 0.1671  6 Zn 2.65-2.66
Zn 0.0000 0.0000 0.6676  6 Zn 2.67
Zn 0.5000 0.0000 0.5000  8 Zn 2.67-2.79
Zn 0.5000 0.5000 0.0000  8 Zn 2.66-2.68
Zn 0.5000 0.2448 0.2415  8 Zn 2.65-2.79
Zn 0.5000 0.7552 0.7585  8 Zn 2.65-2.79
Zn 0.5000 0.7552 0.2415  8 Zn 2.65-2.79
Zn 0.5000 0.2448 0.7585  8 Zn 2.65-2.79

=====

3.
DFT (PBE) results for CaLaN after structural relaxation.

Values from the calculation:
- Total DFT energy (no corrections): -16.730 eV per formula unit
- Relative energy among the computed polymorphs: 0.355 eV per atom

Unit cell a=3.3114 b=7.4589 c=7.2160 alpha=118.66 beta=90.00 gamma=102.83
With the nearest neighbours (Å) after each atom.
Fractional coordinates of all 6 atoms:
La 0.6027 0.2054 0.2600  2 N 2.39
La 0.3973 0.7946 0.7400  2 N 2.39
N 0.0000 0.0000 0.5000  4 Ca 2.40
N 0.0000 0.0000 0.0000  4 La 2.39
Ca 0.3814 0.7628 0.2620  2 N 2.40
Ca 0.6186 0.2372 0.7380  2 N 2.40